Computed, not measured: an optimized crystal structure of SmGdMgZr at the GGA-PBE level of DFT.

Unit cell a=5.3931 b=5.3931 c=5.3931 alpha=60.00 beta=60.00 gamma=60.00
Each line ends with the local moment (μB).
Fractional coordinates of all 4 atoms:
Gd (0.2500, 0.2500, 0.2500)  7.29
Sm (0.7500, 0.7500, 0.7500)  0.14
Mg (0.0000, 0.0000, 0.0000)  -0.01
Zr (0.5000, 0.5000, 0.5000)  0.75

Values from the calculation:
Its density is 6.33 g cm⁻³. Its density of states at the Fermi level is 4.776 states/eV per cell. The value obtained for the formation energy is 117 meV per atom.